Arrangement 1

The following is a PBE+U calculation of a relaxed Li2CrCuO4 crystal, from Alexandria via LeMat-Bulk.

The structure belongs to space group Imma (No. 74); the cell edges are 5.908, 5.911 and 8.330 Å and the angles 90.00°, 90.00° and 90.00°. Symmetry generates all atoms from Li at (0.000, 0.000, 0.000), Li at (0.250, 0.250, 0.250), Cr at (0.000, 0.000, 0.500), Cu at (0.250, 0.250, 0.750), O at (0.000, 0.014, 0.743) and O at (0.234, 0.250, 0.504).

The calculation puts the spin magnetization at 4.8 μB per formula unit.

=====

Arrangement 2

The following is a PBE+U calculation of a relaxed Li2CrCuO4 crystal, from Alexandria via LeMat-Bulk.

The structure belongs to space group P2/m (No. 10); the cell edges are 5.109, 2.952 and 5.113 Å and the angles 90.00°, 109.52° and 90.00°. Symmetry generates all atoms from Li at (0.000, 0.000, 0.000), Li at (0.500, 0.500, 0.000), Cr at (0.000, 0.500, 0.500), Cu at (0.500, 0.000, 0.500), O at (0.238, 0.000, 0.728) and O at (0.254, 0.500, 0.273).

The calculation puts the spin magnetization at 1.0 μB per formula unit.

=====

Relative energy of each structure, in meV/atom: arrangement 1 24; arrangement 2 0.